Compound: InFePtO6
Source: Alexandria
Functional: PBE with a Hubbard U
Structure: optimized geometry

Geometry as POSCAR:
```
InFePtO6
1.0
-4.029 -1.489 1.965
2.461 -2.194 3.383
-0.314 7.974 5.399
O In Fe Pt
12 2 2 2
Direct
0.708 0.708 0.325
0.699 0.699 0.679
0.792 0.208 0.825
0.208 0.792 0.825
0.801 0.199 0.179
0.681 0.681 0.997
0.819 0.181 0.497
0.199 0.801 0.179
0.301 0.301 0.679
0.319 0.319 0.997
0.181 0.819 0.497
0.292 0.292 0.325
0.500 0.500 0.499
0.000 0.000 0.999
0.500 0.500 0.166
0.000 0.000 0.666
0.500 0.500 0.833
0.000 0.000 0.333
```

Computed properties:
- Total magnetic moment: 9.16 μB/cell
- Electronic total energy: -5.80 eV/atom